[1]
The following is a DFT calculation (GGA-PBE) of a geometry-optimized Li3Pu2Rh4 structure.

Its energy of formation from the pure elements is -0.398 eV/atom. The calculation puts the total magnetization at 0.995 μB/atom. As for the volume: 16.2 Å³ per atom.

It has space group P-3m1 (No. 164), with a = 4.4025 Å, b = 4.4025 Å, c = 8.6701 Å, α = 90.00°, β = 90.00° and γ = 120.00°. The inequivalent atoms are Li at (0.0000, 0.0000, 0.0000), Li at (0.3333, 0.6667, 0.4402), Pu at (0.3333, 0.6667, 0.7807), Rh at (0.0000, 0.0000, 0.3367) and Rh at (0.3333, 0.6667, 0.1101).

---

[2]
The following is a DFT calculation (GGA-PBE) of a geometry-optimized LiPuSiRh structure.

The calculation puts the total magnetization at 1.128 μB/atom. The formation energy from raw total energies comes out at -258 meV per atom. As for the volume: 16.4 Å³ per atom.

It has space group F-43m (No. 216), with a = 6.409 Å, b = 6.409 Å, c = 6.409 Å, α = 90.00°, β = 90.00° and γ = 90.00°. The inequivalent atoms are Li at (0.000, 0.000, 0.000), Pu at (0.250, 0.250, 0.750), Si at (0.000, 0.000, 0.500) and Rh at (0.250, 0.250, 0.250).

---

[3]
The following is a DFT calculation (GGA-PBE) of a geometry-optimized LiSmPuRh structure.

Its energy of formation from the pure elements is -0.228 eV/atom. The calculation puts the total magnetization at 1.497 μB/atom. As for the volume: 21.8 Å³ per atom.

It has space group F-43m (No. 216), with a = 7.041 Å, b = 7.041 Å, c = 7.041 Å, α = 90.00°, β = 90.00° and γ = 90.00°. The inequivalent atoms are Li at (0.000, 0.000, 0.000), Sm at (0.250, 0.250, 0.750), Pu at (0.250, 0.250, 0.250) and Rh at (0.000, 0.000, 0.500).